Entry 1:
{"formula": "NiRhCl4", "functional": "PBEsol", "state": "optimized geometry", "lattice_angstrom": [[-1.722, 4.524, 2.493], [-3.923, 3.027, -2.257], [-4.956, 0.151, 2.249]], "species": ["Cl", "Cl", "Cl", "Cl", "Ni", "Rh"], "frac_coords": [[0.375, 0.375, 0.375], [0.375, 0.375, 0.875], [0.875, 0.375, 0.375], [0.375, 0.875, 0.375], [0.750, 0.750, 0.750], [0.000, 0.000, 0.000]], "sg": "F-43m", "magmom_total_mub_per_cell": 2.14, "raw_formation_energy_ev_per_atom": 1.361, "mass_density_g_cm3": 4.414}

=====

Entry 2:
{"formula": "Sc3SnHg", "functional": "PBEsol", "state": "optimized geometry", "lattice_angstrom": [[5.156, 0.000, 0.000], [0.000, 5.156, 0.000], [0.000, 0.000, 5.156]], "species": ["Sc", "Sc", "Sc", "Hg", "Sn"], "frac_coords": [[0.000, 0.500, 0.000], [0.000, 0.000, 0.500], [0.500, 0.000, 0.000], [0.000, 0.000, 0.000], [0.500, 0.500, 0.500]], "sg": "Pm-3m", "magmom_total_mub_per_cell": 0.00, "mass_density_g_cm3": 5.502, "e_form_ev_per_atom": 0.05}

=====

Entry 3:
{"formula": "RuPt2Rh", "functional": "PBEsol", "state": "optimized geometry", "lattice_angstrom": [[-0.121, -0.714, -3.780], [-2.604, -2.748, 0.602], [-2.811, 2.576, -0.397]], "species": ["Ru", "Rh", "Pt", "Pt"], "frac_coords": [[0.500, 0.000, 0.000], [0.500, 0.500, 0.500], [0.000, 0.000, 0.500], [0.000, 0.500, 0.000]], "sg": "P4/mmm", "magmom_total_mub_per_cell": 0.00, "de_polymorph_mev_per_atom": 76.5, "mass_density_g_cm3": 17.442, "e_form_ev_per_atom": 0.04}

=====

Entry 4:
{"formula": "Ba5MgMnV4Cl6O14", "functional": "PBEsol", "state": "optimized geometry", "lattice_angstrom": [[5.675, 0.000, 0.000], [0.000, 13.255, -0.028], [0.000, -6.301, 14.397]], "species": ["Ba", "Ba", "Ba", "Ba", "Ba", "Ba", "Ba", "Ba", "Ba", "Ba", "Mg", "Mg", "Mn", "Mn", "V", "V", "V", "V", "V", "V", "V", "V", "Cl", "Cl", "Cl", "Cl", "Cl", "Cl", "Cl", "Cl", "Cl", "Cl", "Cl", "Cl", "O", "O", "O", "O", "O", "O", "O", "O", "O", "O", "O", "O", "O", "O", "O", "O", "O", "O", "O", "O", "O", "O", "O", "O", "O", "O", "O", "O"], "frac_coords": [[0.251, 0.229, 0.021], [0.749, 0.771, 0.979], [0.251, 0.771, 0.479], [0.749, 0.229, 0.521], [0.252, 0.500, 0.750], [0.748, 0.500, 0.250], [0.748, 0.236, 0.795], [0.252, 0.764, 0.205], [0.748, 0.764, 0.705], [0.252, 0.236, 0.295], [0.250, 0.000, 0.750], [0.750, 0.000, 0.250], [0.000, 0.500, 0.500], [0.000, 0.500, 0.000], [0.251, 0.207, 0.651], [0.749, 0.793, 0.349], [0.251, 0.793, 0.849], [0.749, 0.207, 0.151], [0.750, 0.048, 0.905], [0.250, 0.952, 0.095], [0.750, 0.952, 0.595], [0.250, 0.048, 0.405], [0.246, 0.352, 0.514], [0.754, 0.648, 0.486], [0.246, 0.648, 0.986], [0.754, 0.352, 0.014], [0.231, 0.498, 0.135], [0.769, 0.502, 0.865], [0.231, 0.502, 0.365], [0.769, 0.498, 0.635], [0.245, 0.357, 0.888], [0.755, 0.643, 0.112], [0.245, 0.643, 0.612], [0.755, 0.357, 0.388], [0.252, 0.125, 0.528], [0.748, 0.875, 0.472], [0.252, 0.875, 0.972], [0.748, 0.125, 0.028], [0.485, 0.293, 0.679], [0.515, 0.707, 0.321], [0.485, 0.707, 0.821], [0.515, 0.293, 0.179], [0.008, 0.083, 0.358], [0.992, 0.917, 0.642], [0.008, 0.917, 0.142], [0.992, 0.083, 0.858], [0.253, 0.133, 0.716], [0.747, 0.867, 0.284], [0.253, 0.867, 0.784], [0.747, 0.133, 0.216], [0.014, 0.291, 0.678], [0.986, 0.709, 0.322], [0.014, 0.709, 0.822], [0.986, 0.291, 0.178], [0.509, 0.083, 0.857], [0.491, 0.917, 0.143], [0.509, 0.917, 0.643], [0.491, 0.083, 0.357], [0.250, 0.086, 0.117], [0.750, 0.914, 0.883], [0.250, 0.914, 0.383], [0.750, 0.086, 0.617]], "sg": "P2/c", "magmom_total_mub_per_cell": 10.00, "raw_formation_energy_ev_per_atom": -2.552, "mass_density_g_cm3": 4.317}